This record from the Alexandria database describes a relaxed structure of ThSc2Os2. The functional is GGA-PBE.

Calculated values
Its volume is 21.70 Å³/atom. The calculation puts the total energy at -44.14 eV/cell. The formation energy comes out at -0.3189 eV/atom.

```
ThSc2Os2
1.0
4.690 0.000 0.000
-2.345 4.061 0.000
0.000 0.000 5.698
Th Sc Os
1 2 2
direct
0.000 0.000 0.000 Th
0.333 0.667 0.358 Sc
0.667 0.333 0.642 Sc
0.333 0.667 0.840 Os
0.667 0.333 0.160 Os
```